[1]
Density functional theory data (PBE) for Rb2TbGe2S6 after structural relaxation.

Lattice parameters (Å, degrees): 7.3404 6.7008 8.4550 104.50 90.00 123.21
Closest atoms and distances in Å follow each position.
Positions (direct):
Rb 0.6923 0.3845 0.1309  7 S 3.35-3.58
Rb 0.3077 0.6155 0.8691  7 S 3.35-3.58
Tb 0.5000 0.0000 0.5000  6 S 2.73-2.78
Ge 0.9574 0.9148 0.6278  3 S 2.21-2.22
Ge 0.0426 0.0852 0.3722  3 S 2.21-2.22
S 0.7513 0.5025 0.5430  1 Ge 2.21
S 0.2151 0.9234 0.2398  1 Ge 2.22
S 0.2917 0.0766 0.7602  1 Ge 2.22
S 0.7849 0.0766 0.7602  1 Ge 2.22
S 0.7083 0.9234 0.2398  1 Ge 2.22
S 0.2487 0.4975 0.4570  1 Ge 2.21

As for the formation energy (no corrections): -10.04 eV per formula unit. Its space-group type is C2/m, No. 12. The total moment comes out at 0.00 Bohr magnetons per cell. As for the calculated density: 3.34 g/cm3. The electronic total energy is -4.600 eV/atom. As for the crystal system: monoclinic. For the density of states at the Fermi level, the calculation gives 6.335 states/eV/f.u.

=====

[2]
Density functional theory data (PBE) for Rb3Tb3GeS8 after structural relaxation.

Lattice parameters (Å, degrees): 7.9505 7.9525 9.1053 115.91 90.00 119.99
Closest atoms and distances in Å follow each position.
Positions (direct):
Rb 0.0000 0.0000 0.0000  6 S 3.34-3.35
Rb 0.0000 0.5000 0.0000  6 S 3.34-3.35
Rb 0.5000 0.5000 0.0000  6 S 3.34-3.35
Tb 0.5000 0.0000 0.5000  6 S 2.75-2.79
Tb 0.5000 0.5000 0.5000  6 S 2.75-2.79
Tb 0.0000 0.5000 0.5000  6 S 2.75-2.79
Ge 0.0000 0.0000 0.5000  6 S 2.52
S 0.2695 0.5389 0.3084  3 Tb 2.75
S 0.7306 0.4611 0.6916  3 Tb 2.75
S 0.7888 0.5777 0.3208  1 Ge 2.52, 2 Tb 2.79
S 0.2112 0.4223 0.6792  1 Ge 2.52, 2 Tb 2.79
S 0.7888 0.0320 0.3208  1 Ge 2.52, 2 Tb 2.79
S 0.2112 0.9680 0.6792  1 Ge 2.52, 2 Tb 2.79
S 0.2431 0.0319 0.3208  1 Ge 2.52, 2 Tb 2.79
S 0.7569 0.9681 0.6792  1 Ge 2.52, 2 Tb 2.79

As for the formation energy (no corrections): -22.06 eV per formula unit. Its space-group type is R-3m, No. 166. The total moment comes out at 0.00 Bohr magnetons per cell. As for the calculated density: 4.10 g/cm3. The electronic total energy is -5.099 eV/atom. As for the crystal system: trigonal. For the density of states at the Fermi level, the calculation gives 0.848 states/eV/f.u.

=====

[3]
Density functional theory data (PBE) for Rb2GeTeS after structural relaxation.

Lattice parameters (Å, degrees): 4.4471 8.9353 10.2424 103.52 90.00 90.00
Closest atoms and distances in Å follow each position.
Positions (direct):
Rb 0.7500 0.7183 0.6008  2 S 3.29, 1 Te 3.59
Rb 0.7500 0.8491 0.0961  3 S 3.34-3.36, 1 Ge 3.41
Rb 0.2500 0.2817 0.3992  2 S 3.29, 1 Te 3.59
Rb 0.2500 0.1509 0.9039  3 S 3.34-3.36, 1 Ge 3.41
Ge 0.2500 0.5209 0.8676  1 S 2.28
Ge 0.7500 0.4791 0.1324  1 S 2.28
Te 0.2500 0.6389 0.2964  2 Ge 2.95
Te 0.7500 0.3611 0.7036  2 Ge 2.95
S 0.2500 0.7676 0.8434  1 Ge 2.28
S 0.7500 0.2324 0.1566  1 Ge 2.28

As for the formation energy (no corrections): -3.85 eV per formula unit. Its space-group type is P2_1/m, No. 11. The total moment comes out at 0.00 Bohr magnetons per cell. As for the calculated density: 3.38 g/cm3. The electronic total energy is -3.535 eV/atom. As for the crystal system: monoclinic.